Compound: Co2MoAs
Source: Alexandria via LeMat-Bulk
Functional: GGA-PBE
Structure: relaxed

**Total DFT energy (no corrections)**: -7.34 eV per atom
**ΔH_f (0 K)**: 0.08 eV/atom

```
data_Co2MoAs
_symmetry_space_group_name_H-M 'P 4/m m m'
_symmetry_Int_Tables_number 123
_symmetry_space_group_name_Hall '-P 4 2'
_cell_length_a 2.8062
_cell_length_b 2.8062
_cell_length_c 6.5657
_cell_angle_alpha 90.00
_cell_angle_beta 90.00
_cell_angle_gamma 90.00
loop_
_atom_site_label
_atom_site_type_symbol
_atom_site_fract_x
_atom_site_fract_y
_atom_site_fract_z
Co1 Co 0.0000 0.0000 0.2243
Mo1 Mo 0.5000 0.5000 0.5000
As1 As 0.5000 0.5000 0.0000
```